# 1
Here is an optimized crystal structure of TlSi from the Alexandria database. Energies are from PBE.

## Properties
As for the raw total energy: -3.182 eV/atom.

abc: 4.1879 4.1879 7.6870
angles: 90.00 90.00 120.00
With the nearest neighbours (Å) after each atom.
Space group P6_3mc (No. 186)
One atom of each set of equivalent atoms:
Tl (0.3333, 0.6667, 0.0000) [2 per cell]  4 Si 2.63-2.70
Si (0.3333, 0.6667, 0.6575) [2 per cell]  4 Tl 2.63-2.70

---

# 2
Here is an optimized crystal structure of TlSi2 from the Alexandria database. Energies are from PBE.

## Properties
As for the raw total energy: -4.167 eV/atom. The calculation puts the excess energy over the best structure of this formula in the dataset at 0.00 eV per formula unit.

abc: 3.8402 3.8402 5.5127
angles: 90.00 90.00 120.00
With the nearest neighbours (Å) after each atom.
Space group P-3m1 (No. 164)
One atom of each set of equivalent atoms:
Tl (0.0000, 0.0000, 0.0000) [1 per cell]  6 Si 3.24
Si (0.3333, 0.6667, 0.5723) [2 per cell]  3 Si 2.36

---

# 3
Here is an optimized crystal structure of TlSi from the Alexandria database. Energies are from PBE.

## Properties
As for the raw total energy: -3.360 eV/atom.

abc: 9.8212 9.8212 9.8212
angles: 90.00 90.00 90.00
With the nearest neighbours (Å) after each atom.
Space group I-43m (No. 217)
One atom of each set of equivalent atoms:
Tl (0.1885, 0.1885, 0.8115) [8 per cell]  3 Si 3.05
Si (0.0876, 0.0876, 0.0876) [8 per cell]  3 Si 2.43

---

# 4
Here is an optimized crystal structure of Tl2Si from the Alexandria database. Energies are from PBE.

## Properties
As for the raw total energy: -3.008 eV/atom. The calculation puts the excess energy over the best structure of this formula in the dataset at 0.52 eV per formula unit.

abc: 6.9201 6.9201 6.9201
angles: 90.00 90.00 90.00
With the nearest neighbours (Å) after each atom.
Space group Pa-3 (No. 205)
One atom of each set of equivalent atoms:
Tl (0.1373, 0.1373, 0.1373) [8 per cell]  3 Si 2.85
Si (0.0000, 0.0000, 0.5000) [4 per cell]  6 Tl 2.85

---

# 5
Here is an optimized crystal structure of Tl6Si7 from the Alexandria database. Energies are from PBE.

## Properties
As for the raw total energy: -3.638 eV/atom.

abc: 6.3379 6.3379 28.2798
angles: 90.00 90.00 120.00
With the nearest neighbours (Å) after each atom.
Space group R-3m (No. 166, hexagonal axes)
One atom of each set of equivalent atoms:
Tl (0.0000, 0.0000, 0.0579) [6 per cell]  2 Tl 3.24-3.27, 6 Si 3.35
Tl (0.0000, 0.0000, 0.1724) [6 per cell]  3 Si 2.96, 1 Tl 3.24
Tl (0.0000, 0.0000, 0.3164) [6 per cell]  6 Si 3.12-3.42
Si (0.0000, 0.0000, 0.5000) [3 per cell]  6 Si 2.51
Si (0.0779, 0.5389, 0.0932) [18 per cell]  3 Si 2.43-2.51

---

# 6
Here is an optimized crystal structure of Tl2Si from the Alexandria database. Energies are from PBE.

## Properties
As for the raw total energy: -3.022 eV/atom. The calculation puts the excess energy over the best structure of this formula in the dataset at 0.47 eV per formula unit.

abc: 6.9676 6.9676 6.9676
angles: 90.00 90.00 90.00
With the nearest neighbours (Å) after each atom.
Space group Fm-3m (No. 225)
One atom of each set of equivalent atoms:
Tl (0.2500, 0.2500, 0.2500) [8 per cell]  4 Si 3.02
Si (0.0000, 0.0000, 0.0000) [4 per cell]  8 Tl 3.02

---

# 7
Here is an optimized crystal structure of Tl3Si from the Alexandria database. Energies are from PBE.

## Properties
As for the raw total energy: -2.780 eV/atom. The calculation puts the excess energy over the best structure of this formula in the dataset at 0.23 eV per formula unit.

abc: 7.5672 7.5672 7.5672
angles: 90.00 90.00 90.00
With the nearest neighbours (Å) after each atom.
Space group Fm-3m (No. 225)
One atom of each set of equivalent atoms:
Tl (0.0000, 0.0000, 0.0000) [4 per cell]  8 Tl 3.28
Tl (0.2500, 0.2500, 0.2500) [8 per cell]  4 Tl 3.28, 4 Si 3.28
Si (0.0000, 0.0000, 0.5000) [4 per cell]  8 Tl 3.28

---

# 8
Here is an optimized crystal structure of TlSi2 from the Alexandria database. Energies are from PBE.

## Properties
As for the raw total energy: -3.993 eV/atom. The calculation puts the excess energy over the best structure of this formula in the dataset at 0.52 eV per formula unit.

abc: 12.8768 3.2903 7.3738
angles: 90.00 115.90 90.00
With the nearest neighbours (Å) after each atom.
Space group C2/m (No. 12)
One atom of each set of equivalent atoms:
Tl (0.1543, 0.0000, 0.1158) [4 per cell]  5 Si 3.10-3.25, 2 Tl 3.29
Si (0.0510, 0.5000, 0.3804) [4 per cell]  5 Si 2.52-2.62
Si (0.1080, 0.0000, 0.6668) [4 per cell]  5 Si 2.52-2.79

---

Summary of formation energy from raw total energies in meV/atom
713, 237, 534, 377, 375, 363, 350, 411
(order as listed above)
Summary of total magnetic moment in μB per atom
0.0000, 0.0000, 0.0000, 0.0000, 0.0000, 0.0000, 0.0000, 0.0000
(order as listed above)